Computed, not measured: a relaxed structure of LiCeTl at the PBE-GGA level of DFT.

Calculated values
E above lowest polymorph ... 0.000 eV/atom
ΔE_f ... -0.21 eV per atom

Lattice parameters (Å, degrees): 5.1124 5.1124 6.4052 90.00 90.00 120.00
Closest atoms and distances in Å follow each position.
Space group P6_3/mmc (No. 194)
Asymmetric unit:
Li  0.3333  0.6667  0.2500  5 Tl 2.95-3.20
Ce  0.0000  0.0000  0.0000  2 Ce 3.20, 6 Li 3.36, 6 Tl 3.36
Tl  0.3333  0.6667  0.7500  5 Li 2.95-3.20

Computed, not measured: a relaxed structure of LiCe2Tl at the PBE-GGA level of DFT.

Calculated values
ΔE_f ... 0.01 eV per atom

Lattice parameters (Å, degrees): 3.9915 3.9915 6.5489 90.00 90.00 90.00
Closest atoms and distances in Å follow each position.
Space group P4/mmm (No. 123)
Asymmetric unit:
Li  0.0000  0.0000  0.0000  8 Ce 3.14, 2 Tl 3.27
Ce  0.5000  0.5000  0.2100  1 Ce 2.75
Tl  0.0000  0.0000  0.5000  2 Li 3.27, 8 Ce 3.40

Computed, not measured: a relaxed structure of Li2CeTl3 at the PBE-GGA level of DFT.

Calculated values
E above lowest polymorph ... 0.000 eV/atom
ΔE_f ... -0.23 eV per atom

Lattice parameters (Å, degrees): 5.0764 5.0764 13.2138 90.00 90.00 120.00
Closest atoms and distances in Å follow each position.
Space group P-3m1 (No. 164)
Asymmetric unit:
Li  0.0000  0.0000  0.0000  8 Tl 2.96-3.10
Li  0.0000  0.0000  0.5000  6 Tl 3.10
Li  0.3333  0.6667  0.1596  7 Tl 3.05-3.13
Ce  0.3333  0.6667  0.6710  8 Tl 3.19-3.35
Tl  0.0000  0.0000  0.2242  4 Li 2.96-3.05, 3 Ce 3.24
Tl  0.3333  0.6667  0.4245  3 Li 3.10, 4 Ce 3.19-3.26
Tl  0.3333  0.6667  0.9243  7 Li 3.10-3.13, 1 Ce 3.35

Computed, not measured: a relaxed structure of LiCe5Tl6 at the PBE-GGA level of DFT.

Calculated values
ΔE_f ... -0.23 eV per atom

Lattice parameters (Å, degrees): 16.2794 7.6352 5.4592 90.00 102.74 90.00
Closest atoms and distances in Å follow each position.
Space group C2/m (No. 12)
Asymmetric unit:
Li  0.0000  0.0000  0.0000  8 Tl 3.08-3.21
Ce  0.0000  0.5000  0.0000  8 Tl 3.23-3.46
Ce  0.1730  0.5000  0.6023  1 Ce 2.79
Ce  0.1865  0.0000  0.6131  1 Ce 2.79
Tl  0.0000  0.2212  0.5000  2 Li 3.21, 1 Tl 3.38, 6 Ce 3.41-3.48
Tl  0.1582  0.2344  0.0959  1 Li 3.08, 7 Ce 3.23-3.42, 1 Tl 3.39

Computed, not measured: a relaxed structure of LiCe2Tl at the PBE-GGA level of DFT.

Calculated values
ΔE_f ... -0.09 eV per atom

Lattice parameters (Å, degrees): 4.3876 4.3876 5.0571 90.00 90.00 90.00
Closest atoms and distances in Å follow each position.
Space group P4/mmm (No. 123)
Asymmetric unit:
Li  0.0000  0.0000  0.0000  4 Tl 3.10, 8 Ce 3.35
Ce  0.0000  0.5000  0.5000  4 Ce 3.10, 4 Tl 3.35, 4 Li 3.35
Tl  0.5000  0.5000  0.0000  4 Li 3.10, 8 Ce 3.35

Computed, not measured: a relaxed structure of LiCeTl4 at the PBE-GGA level of DFT.

Calculated values
ΔE_f ... 0.04 eV per atom

Lattice parameters (Å, degrees): 4.7018 4.7018 8.0423 90.00 90.00 90.00
Closest atoms and distances in Å follow each position.
Space group P4/mmm (No. 123)
Asymmetric unit:
Li  0.0000  0.0000  0.0000  8 Tl 2.88
Ce  0.5000  0.5000  0.5000  8 Tl 3.33
Tl  0.0000  0.5000  0.2066  2 Li 2.88

Computed, not measured: a relaxed structure of Li4CeTl5 at the PBE-GGA level of DFT.

Calculated values
ΔE_f ... -0.22 eV per atom

Lattice parameters (Å, degrees): 3.5228 3.5228 18.3064 90.00 90.00 90.00
Closest atoms and distances in Å follow each position.
Space group P4/mmm (No. 123)
Asymmetric unit:
Li  0.0000  0.0000  0.0975  8 Tl 3.02-3.06
Li  0.0000  0.0000  0.2845  8 Tl 2.99-3.02
Ce  0.0000  0.0000  0.5000  8 Tl 3.38, 4 Ce 3.52
Tl  0.5000  0.5000  0.0000  8 Li 3.06
Tl  0.5000  0.5000  0.1913  8 Li 3.02, 1 Tl 3.36
Tl  0.5000  0.5000  0.3749  4 Li 2.99

Computed, not measured: a relaxed structure of LiCe2Tl4 at the PBE-GGA level of DFT.

Calculated values
E above lowest polymorph ... 0.069 eV/atom
ΔE_f ... -0.05 eV per atom

Lattice parameters (Å, degrees): 4.9195 4.9195 16.4343 90.00 90.00 90.00
Closest atoms and distances in Å follow each position.
Space group I4/mmm (No. 139)
Asymmetric unit:
Li  0.0000  0.0000  0.0000  6 Tl 2.46-2.72
Ce  0.0000  0.0000  0.3582  9 Tl 3.17-3.50
Tl  0.0000  0.0000  0.1653  1 Li 2.72
Tl  0.0000  0.5000  0.0000  2 Li 2.46

Computed, not measured: a relaxed structure of LiCe2Tl2 at the PBE-GGA level of DFT.

Calculated values
E above lowest polymorph ... 0.000 eV/atom
ΔE_f ... -0.17 eV per atom

Lattice parameters (Å, degrees): 11.1505 4.7884 9.9716 90.00 104.02 90.00
Closest atoms and distances in Å follow each position.
Space group C2/m (No. 12)
Asymmetric unit:
Li  0.2341  0.0000  0.3027  3 Tl 2.74-2.75
Ce  0.0425  0.5000  0.3810  1 Ce 2.76
Ce  0.1840  0.5000  0.0496  2 Ce 3.10, 3 Tl 3.35-3.42, 2 Li 3.43
Tl  0.0073  0.0000  0.8489  1 Li 2.75, 1 Tl 3.06
Tl  0.1600  0.0000  0.5992  2 Li 2.74

Computed, not measured: a relaxed structure of LiCeTl2 at the PBE-GGA level of DFT.

Calculated values
E above lowest polymorph ... 0.000 eV/atom
ΔE_f ... -0.26 eV per atom

Lattice parameters (Å, degrees): 7.4638 7.4638 7.4638 90.00 90.00 90.00
Closest atoms and distances in Å follow each position.
Space group Fm-3m (No. 225)
Asymmetric unit:
Li  0.0000  0.0000  0.0000  8 Tl 3.23
Ce  0.0000  0.0000  0.5000  8 Tl 3.23
Tl  0.2500  0.2500  0.2500  4 Ce 3.23, 4 Li 3.23

Computed, not measured: a relaxed structure of Li5CeTl6 at the PBE-GGA level of DFT.

Calculated values
ΔE_f ... -0.21 eV per atom

Lattice parameters (Å, degrees): 4.9155 7.5895 14.8315 90.00 90.00 90.00
Closest atoms and distances in Å follow each position.
Space group Immm (No. 71)
Asymmetric unit:
Li  0.0000  0.0000  0.0000  8 Tl 2.97-3.05
Li  0.0000  0.0000  0.3319  8 Tl 2.96-3.28, 2 Li 3.30
Li  0.0000  0.5000  0.3169  8 Tl 3.01-3.18, 2 Li 3.30
Ce  0.0000  0.5000  0.0000  8 Tl 3.26, 4 Li 3.50
Tl  0.0000  0.2265  0.1696  7 Li 2.96-3.22, 1 Ce 3.26
Tl  0.0000  0.2814  0.5000  6 Li 2.97-3.28, 2 Ce 3.26, 1 Tl 3.32

Computed, not measured: a relaxed structure of LiCeTl2 at the PBE-GGA level of DFT.

Calculated values
E above lowest polymorph ... 0.021 eV/atom
ΔE_f ... -0.24 eV per atom

Lattice parameters (Å, degrees): 3.5600 3.5600 7.8033 90.00 90.00 90.00
Closest atoms and distances in Å follow each position.
Space group P4/mmm (No. 123)
Asymmetric unit:
Li  0.0000  0.0000  0.0000  8 Tl 3.01
Ce  0.0000  0.0000  0.5000  8 Tl 3.38, 4 Ce 3.56
Tl  0.5000  0.5000  0.2104  4 Li 3.01, 1 Tl 3.28

Number 1: DOS(E_F) 12.4 states/eV/cell. Number 2: DOS(E_F) 10.0 states/eV/cell. Number 3: DOS(E_F) 15.1 states/eV/cell. Number 4: DOS(E_F) 54.9 states/eV/cell. Number 5: DOS(E_F) 8.8 states/eV/cell. Number 6: DOS(E_F) 9.8 states/eV/cell. Number 7: DOS(E_F) 9.9 states/eV/cell. Number 8: DOS(E_F) 32.4 states/eV/cell. Number 9: DOS(E_F) 43.7 states/eV/cell. Number 10: DOS(E_F) 26.2 states/eV/cell. Number 11: DOS(E_F) 22.4 states/eV/cell. Number 12: DOS(E_F) 7.5 states/eV/cell.